A plane-wave DFT calculation with PBE was carried out for a relaxed GeHRu2 crystal.

The value obtained for the volume is 11.96 A^3/atom. As for the total magnetization: 0.0 μB/f.u. The energy above the most stable polymorph in this dataset is 0 meV per atom.

It has space group I-42d (No. 122), with a = 6.005 Å, b = 6.005 Å, c = 5.308 Å, α = 90.00°, β = 90.00° and γ = 90.00°. The asymmetric unit holds Ge at (0.000, 0.000, 0.000), H at (0.000, 0.000, 0.500) and Ru at (0.160, 0.750, 0.625).


A plane-wave DFT calculation with PBE was carried out for a relaxed Sc2SiBr crystal.

The value obtained for the volume is 28.75 A^3/atom. The value obtained for the formation energy without anion corrections is -1.531 eV per formula unit. As for the total magnetization: 0.0 μB/f.u. The energy above the most stable polymorph in this dataset is 519 meV per atom.

It has space group I-42d (No. 122), with a = 6.005 Å, b = 6.005 Å, c = 12.759 Å, α = 90.00°, β = 90.00° and γ = 90.00°. The asymmetric unit holds Sc at (0.220, 0.250, 0.125), Si at (0.000, 0.000, 0.000) and Br at (0.000, 0.000, 0.500).


A plane-wave DFT calculation with PBE was carried out for a relaxed LiCrTe2Cl crystal.

The value obtained for the volume is 27.38 A^3/atom. The value obtained for the formation energy without anion corrections is -1.424 eV per formula unit. As for the total magnetization: 2.4 μB/f.u.

It has space group P4/mmm (No. 123), with a = 5.384 Å, b = 5.384 Å, c = 4.723 Å, α = 90.00°, β = 90.00° and γ = 90.00°. The asymmetric unit holds Li at (0.000, 0.000, 0.000), Cr at (0.500, 0.500, 0.500), Te at (0.000, 0.500, 0.500) and Cl at (0.500, 0.500, 0.000).


A plane-wave DFT calculation with PBE was carried out for a relaxed Tb2BiI2 crystal.

The value obtained for the volume is 38.11 A^3/atom. The value obtained for the formation energy without anion corrections is -5.656 eV per formula unit. As for the total magnetization: 0.0 μB/f.u.

It has space group R-3m (No. 166, hexagonal axes), with a = 4.4069 Å, b = 4.4069 Å, c = 33.9902 Å, α = 90.00°, β = 90.00° and γ = 120.00°. The asymmetric unit holds Tb at (0.0000, 0.0000, 0.1151), Bi at (0.0000, 0.0000, 0.5000) and I at (0.0000, 0.0000, 0.2748).


A plane-wave DFT calculation with PBE was carried out for a relaxed La6Si2SeS3 crystal.

The value obtained for the volume is 27.72 A^3/atom. The value obtained for the formation energy without anion corrections is -19.861 eV per formula unit. As for the total magnetization: 0.0 μB/f.u.

It has space group C2/m (No. 12), with a = 18.609 Å, b = 4.291 Å, c = 8.540 Å, α = 90.00°, β = 102.70° and γ = 90.00°. The asymmetric unit holds La at (0.002, 0.000, 0.259), La at (0.167, 0.500, 0.583), La at (0.169, 0.500, 0.087), Si at (0.165, 0.000, 0.330), Se at (0.000, 0.500, 0.000), S at (0.000, 0.500, 0.500) and S at (0.165, 0.000, 0.835).


A plane-wave DFT calculation with PBE was carried out for a relaxed HfGe3S crystal.

The value obtained for the volume is 21.21 A^3/atom. The value obtained for the formation energy without anion corrections is 2.942 eV per formula unit. As for the total magnetization: 0.0 μB/f.u. The energy above the most stable polymorph in this dataset is 0 meV per atom.

It has space group Pm-3m (No. 221), with a = 4.733 Å, b = 4.733 Å, c = 4.733 Å, α = 90.00°, β = 90.00° and γ = 90.00°. The asymmetric unit holds Hf at (0.000, 0.000, 0.000), Ge at (0.000, 0.500, 0.500) and S at (0.500, 0.500, 0.500).